Entry 1:
Density functional theory data (PBE) for a geometry-optimized YSc2Tl structure.

Properties
For the energy of formation from the pure elements, the calculation gives -0.05 eV per atom.

Cell: 6.4543 10.6958 3.2768 Å, 90.00 113.73 90.00°
Closest atoms and distances in Å follow each position.
Fractional positions:
Y 0.0000 0.0000 0.0000  4 Sc 3.21, 4 Tl 3.23-3.56, 2 Y 3.28
Y 0.5000 0.5000 0.0000  4 Sc 3.21, 4 Tl 3.23-3.56, 2 Y 3.28
Sc 0.2500 0.2500 0.5000  2 Tl 3.21, 2 Y 3.21, 6 Sc 3.23-3.56
Sc 0.2500 0.7500 0.5000  2 Tl 3.21, 2 Y 3.21, 6 Sc 3.23-3.56
Sc 0.7500 0.2500 0.5000  2 Tl 3.21, 2 Y 3.21, 6 Sc 3.23-3.56
Sc 0.7500 0.7500 0.5000  2 Tl 3.21, 2 Y 3.21, 6 Sc 3.23-3.56
Tl 0.0000 0.5000 0.0000  4 Sc 3.21, 4 Y 3.23-3.56, 2 Tl 3.28
Tl 0.5000 0.0000 0.0000  4 Sc 3.21, 4 Y 3.23-3.56, 2 Tl 3.28

***

Entry 2:
Density functional theory data (PBE) for a geometry-optimized Li2CaOs structure.

Properties
For the energy of formation from the pure elements, the calculation gives 0.55 eV per atom.

Cell: 4.2074 4.2074 3.9326 Å, 90.00 90.00 90.00°
Closest atoms and distances in Å follow each position.
Fractional positions:
Li 0.0000 0.5000 0.0000  4 Os 2.88, 4 Ca 2.88, 4 Li 2.98
Li 0.5000 0.0000 0.0000  4 Os 2.88, 4 Ca 2.88, 4 Li 2.98
Ca 0.0000 0.0000 0.5000  8 Li 2.88, 4 Os 2.98
Os 0.5000 0.5000 0.5000  8 Li 2.88, 4 Ca 2.98

***

Entry 3:
Density functional theory data (PBE) for a geometry-optimized LiSi2TcS structure.

Properties
For the uncorrected formation energy, the calculation gives 0.6874 eV/atom.

Cell: 4.5586 4.5586 3.9802 Å, 90.00 90.00 90.00°
Closest atoms and distances in Å follow each position.
Fractional positions:
Li 0.0000 0.0000 0.0000  2 S 1.99
Si 0.0000 0.5000 0.5000  2 S 2.28
Si 0.5000 0.0000 0.5000  2 S 2.28
Tc 0.5000 0.5000 0.0000  8 Si 3.03, 4 Li 3.22
S 0.0000 0.0000 0.5000  2 Li 1.99